A geometry-optimized SrCaTi2Ge2O10 structure, computed with GGA-PBEsol.

a = 6.727 Å, b = 7.188 Å, c = 8.960 Å
α = 90.00°, β = 90.00°, γ = 113.77°
Positions (direct):
O 0.450 0.666 0.684
O 0.638 0.138 0.544
O 0.157 0.655 0.459
O 0.341 0.343 0.460
O 0.434 0.171 0.808
O 0.550 0.334 0.184
O 0.863 0.866 0.545
O 0.362 0.862 0.044
O 0.566 0.829 0.308
O 0.049 0.332 0.685
O 0.137 0.134 0.045
O 0.750 0.500 0.693
O 0.843 0.345 0.959
O 0.750 0.001 0.817
O 0.250 0.999 0.317
O 0.250 0.500 0.193
O 0.951 0.668 0.185
O 0.936 0.172 0.307
O 0.659 0.657 0.960
O 0.064 0.828 0.807
Sr 0.749 0.505 0.422
Sr 0.251 0.495 0.922
Ti 0.744 0.254 0.749
Ti 0.256 0.746 0.249
Ti 0.244 0.238 0.252
Ti 0.756 0.762 0.752
Ge 0.751 0.501 0.065
Ge 0.249 0.998 0.934
Ge 0.249 0.499 0.565
Ge 0.751 0.002 0.434
Ca 0.750 0.002 0.075
Ca 0.250 0.998 0.575

Uncorrected formation energy ... -2649 meV/atom
Theoretical density ... 4.4 g/cm3
Uncorrected energy ... -0.576 Ry/atom
SG ... No. 4
Calculated volume ... 396.5 Å³/cell